Compound: MoIrN2O
Source: the Alexandria database
Functional: PBE with a Hubbard U
Structure: relaxed

Output
M_tot = 0.388 μB per atom
final energy = -32.1 eV/cell
crystal system = tetragonal

Cell lengths 4.0142, 4.0142, 3.7987 Å; angles 90.00, 90.00, 90.00 degrees
Closest atoms and distances in Å follow each position.
Fractional coordinates of all 5 atoms:
N 0.5000 0.0000 0.0000  2 Mo 2.01
Mo 0.0000 0.0000 0.0000  2 O 1.90, 4 N 2.01
N 0.0000 0.5000 0.0000  2 Mo 2.01
O 0.0000 0.0000 0.5000  2 Mo 1.90
Ir 0.5000 0.5000 0.5000  8 N 2.76, 4 O 2.84